1.
DFT (GGA-PBEsol) results for SrMg3Co after structural relaxation.

Cell lengths 6.1902, 6.1902, 6.1902 Å; angles 90.00, 90.00, 90.00 degrees
With the nearest neighbours (Å) after each atom.
Sites, in units of the cell vectors:
Sr: 0.0000 0.0000 0.0000  6 Mg 3.10
Mg: 0.0000 0.5000 0.0000  2 Sr 3.10
Mg: 0.0000 0.0000 0.5000  2 Sr 3.10
Mg: 0.5000 0.0000 0.0000  2 Sr 3.10
Co: 0.5000 0.5000 0.5000  12 Mg 4.38

- energy (eV per atom) = -1.150
- DOS at the Fermi energy (states/eV/atom) = 1.29
- symmetry = Pm-3m, No. 221

***

2.
DFT (GGA-PBEsol) results for BaCdPt2 after structural relaxation.

Cell lengths 4.6558, 4.6558, 6.0292 Å; angles 67.29, 67.29, 60.00 degrees
With the nearest neighbours (Å) after each atom.
Sites, in units of the cell vectors:
Ba: 0.5000 0.5000 0.5000  2 Pt 3.07
Pt: 0.3106 0.3106 0.0682  3 Cd 2.71, 3 Pt 2.79
Pt: 0.6894 0.6894 0.9318  3 Cd 2.71, 3 Pt 2.79
Cd: 0.0000 0.0000 0.0000  6 Pt 2.71

- energy (eV per atom) = -4.796
- DOS at the Fermi energy (states/eV/atom) = 0.45
- symmetry = R-3m, No. 166

***

3.
DFT (GGA-PBEsol) results for TiSnN3 after structural relaxation.

Cell lengths 4.0020, 4.0020, 4.0020 Å; angles 90.00, 90.00, 90.00 degrees
With the nearest neighbours (Å) after each atom.
Sites, in units of the cell vectors:
N: 0.0000 0.5000 0.0000  2 Sn 2.00
N: 0.0000 0.0000 0.5000  2 Sn 2.00
N: 0.5000 0.0000 0.0000  2 Sn 2.00
Sn: 0.0000 0.0000 0.0000  6 N 2.00
Ti: 0.5000 0.5000 0.5000  12 N 2.83

- energy (eV per atom) = -6.527
- DOS at the Fermi energy (states/eV/atom) = 0.73
- symmetry = Pm-3m, No. 221
- uncorrected formation energy (eV per atom) = 1.106

***

4.
DFT (GGA-PBEsol) results for Na2InCu2 after structural relaxation.

Cell lengths 3.9401, 3.9401, 7.0498 Å; angles 106.23, 106.23, 90.00 degrees
With the nearest neighbours (Å) after each atom.
Sites, in units of the cell vectors:
Na: 0.2500 0.7500 0.5000  4 Na 2.79, 4 Cu 2.88
Na: 0.7500 0.2500 0.5000  4 Na 2.79, 4 Cu 2.88
Cu: 0.4125 0.4125 0.8251  1 Cu 2.27
Cu: 0.5875 0.5875 0.1749  1 Cu 2.27
In: 0.0000 0.0000 0.0000  8 Cu 3.01

- energy (eV per atom) = -2.491
- DOS at the Fermi energy (states/eV/atom) = 0.34
- symmetry = I4/mmm, No. 139

***

5.
DFT (GGA-PBEsol) results for CoWCl2 after structural relaxation.

Cell lengths 2.9671, 4.2688, 4.2688 Å; angles 90.00, 90.00, 90.00 degrees
With the nearest neighbours (Å) after each atom.
Sites, in units of the cell vectors:
Co: 0.5000 0.5000 0.5000  8 Cl 2.60
W: 0.5000 0.0000 0.0000  8 Cl 2.60
Cl: 0.0000 0.0000 0.5000  4 W 2.60, 4 Co 2.60
Cl: 0.0000 0.5000 0.0000  4 W 2.60, 4 Co 2.60

- energy (eV per atom) = -5.408
- DOS at the Fermi energy (states/eV/atom) = 1.26
- symmetry = P4/mmm, No. 123
- uncorrected formation energy (eV per atom) = 0.982

***

6.
DFT (GGA-PBEsol) results for Mg2In after structural relaxation.

Cell lengths 5.8288, 5.8288, 5.8288 Å; angles 60.00, 60.00, 60.00 degrees
With the nearest neighbours (Å) after each atom.
Sites, in units of the cell vectors:
In: 0.7500 0.7500 0.7500  12 Mg 3.42, 4 In 3.57
In: 0.5000 0.5000 0.5000  12 Mg 3.42, 4 In 3.57
Mg: 0.1250 0.1250 0.6250  6 Mg 2.91
Mg: 0.1250 0.6250 0.1250  6 Mg 2.91
Mg: 0.1250 0.1250 0.1250  6 Mg 2.91
Mg: 0.6250 0.1250 0.1250  6 Mg 2.91

- energy (eV per atom) = -2.109
- DOS at the Fermi energy (states/eV/atom) = 0.38
- symmetry = Fd-3m, No. 227

***

7.
DFT (GGA-PBEsol) results for Be4CrRh after structural relaxation.

Cell lengths 4.2852, 4.2852, 4.2852 Å; angles 60.00, 60.00, 60.00 degrees
With the nearest neighbours (Å) after each atom.
Sites, in units of the cell vectors:
Cr: 0.7500 0.7500 0.7500  12 Be 2.51, 4 Rh 2.62
Rh: 0.0000 0.0000 0.0000  12 Be 2.51, 4 Cr 2.62
Be: 0.3751 0.3751 0.3751  6 Be 2.14
Be: 0.3751 0.3751 0.8746  6 Be 2.14
Be: 0.8746 0.3751 0.3751  6 Be 2.14
Be: 0.3751 0.8746 0.3751  6 Be 2.14

- energy (eV per atom) = -6.070
- DOS at the Fermi energy (states/eV/atom) = 0.26
- symmetry = F-43m, No. 216

***

8.
DFT (GGA-PBEsol) results for La3In after structural relaxation.

Cell lengths 4.8856, 4.8856, 6.1342 Å; angles 113.47, 113.47, 90.00 degrees
With the nearest neighbours (Å) after each atom.
Sites, in units of the cell vectors:
La: 0.2500 0.7500 0.5000  8 La 3.45-3.52, 4 In 3.52
La: 0.7500 0.2500 0.5000  8 La 3.45-3.52, 4 In 3.52
La: 0.5000 0.5000 0.0000  4 In 3.45, 8 La 3.52
In: 0.0000 0.0000 0.0000  12 La 3.45-3.52

- energy (eV per atom) = -5.068
- DOS at the Fermi energy (states/eV/atom) = 1.32
- symmetry = I4/mmm, No. 139

***

9.
DFT (GGA-PBEsol) results for Cd2AgAu after structural relaxation.

Cell lengths 3.1431, 3.1431, 7.3333 Å; angles 90.00, 90.00, 90.00 degrees
With the nearest neighbours (Å) after each atom.
Sites, in units of the cell vectors:
Au: 0.5000 0.5000 0.5000  8 Cd 2.88, 4 Au 3.14
Ag: 0.5000 0.5000 0.0000  8 Cd 2.89, 4 Ag 3.14
Cd: 0.0000 0.0000 0.7491  4 Au 2.88, 4 Ag 2.89, 4 Cd 3.14
Cd: 0.0000 0.0000 0.2509  4 Au 2.88, 4 Ag 2.89, 4 Cd 3.14

- energy (eV per atom) = -2.532
- DOS at the Fermi energy (states/eV/atom) = 0.26
- symmetry = P4/mmm, No. 123

***

10.
DFT (GGA-PBEsol) results for Ti10O13 after structural relaxation.

Cell lengths 4.1043, 5.0310, 12.0103 Å; angles 93.84, 90.00, 114.07 degrees
With the nearest neighbours (Å) after each atom.
Sites, in units of the cell vectors:
Ti: 0.1677 0.3353 0.5405  6 O 2.02-2.14
Ti: 0.4484 0.8968 0.6232  6 O 1.98-2.10
Ti: 0.5516 0.1032 0.3768  6 O 1.98-2.10
Ti: 0.8323 0.6647 0.4595  6 O 2.02-2.14
Ti: 0.6168 0.2336 0.1526  6 O 2.05-2.10
Ti: 0.9329 0.8657 0.2318  6 O 2.02-2.07
Ti: 0.6929 0.3859 0.9276  6 O 2.03-2.07
Ti: 0.3071 0.6141 0.0724  6 O 2.03-2.07
Ti: 0.0671 0.1343 0.7682  6 O 2.02-2.07
Ti: 0.3832 0.7664 0.8474  6 O 2.05-2.10
O: 0.9611 0.9221 0.6116  5 Ti 2.05-2.14
O: 0.2629 0.5257 0.6972  4 Ti 1.98-2.05
O: 0.6435 0.2870 0.5421  5 Ti 2.06-2.10
O: 0.0389 0.0779 0.3884  5 Ti 2.05-2.14
O: 0.3565 0.7130 0.4579  5 Ti 2.06-2.10
O: 0.7371 0.4743 0.3028  4 Ti 1.98-2.05
O: 0.1197 0.2393 0.1532  4 Ti 2.02-2.05
O: 0.4202 0.8404 0.2283  5 Ti 2.06-2.08
O: 0.1834 0.3667 0.9224  5 Ti 2.05-2.10
O: 0.5000 0.0000 0.0000  4 Ti 2.03-2.05
O: 0.8166 0.6333 0.0776  5 Ti 2.05-2.10
O: 0.5798 0.1596 0.7717  5 Ti 2.06-2.08
O: 0.8803 0.7607 0.8468  4 Ti 2.02-2.05

- energy (eV per atom) = -9.422
- DOS at the Fermi energy (states/eV/atom) = 0.37
- symmetry = C2/m, No. 12
- uncorrected formation energy (eV per atom) = -2.836

***

11.
DFT (GGA-PBEsol) results for AlIn3 after structural relaxation.

Cell lengths 3.2330, 3.2330, 10.4409 Å; angles 81.09, 81.09, 60.00 degrees
With the nearest neighbours (Å) after each atom.
Sites, in units of the cell vectors:
Al: 0.0000 0.0000 0.0000  6 In 3.04, 6 Al 3.23
In: 0.7444 0.7444 0.7668  3 Al 3.04, 9 In 3.23-3.32
In: 0.5000 0.5000 0.5000  12 In 3.23-3.32
In: 0.2556 0.2556 0.2332  3 Al 3.04, 9 In 3.23-3.32

- energy (eV per atom) = -3.169
- DOS at the Fermi energy (states/eV/atom) = 0.47
- symmetry = R-3m, No. 166

***

12.
DFT (GGA-PBEsol) results for ZrTaCr2 after structural relaxation.

Cell lengths 3.1092, 4.4227, 4.4227 Å; angles 90.00, 90.00, 90.00 degrees
With the nearest neighbours (Å) after each atom.
Sites, in units of the cell vectors:
Cr: 0.0000 0.0000 0.5000  4 Zr 2.70, 4 Ta 2.70
Cr: 0.0000 0.5000 0.0000  4 Zr 2.70, 4 Ta 2.70
Ta: 0.5000 0.5000 0.5000  8 Cr 2.70
Zr: 0.5000 0.0000 0.0000  8 Cr 2.70

- energy (eV per atom) = -10.364
- DOS at the Fermi energy (states/eV/atom) = 1.54
- symmetry = P4/mmm, No. 123